The following is a PBE calculation of YLuSe3 after structural relaxation, from Alexandria via LeMat-Bulk.

Properties
* distance to the lowest polymorph of the same formula: 284 meV/atom
* formation energy without anion corrections: -1.596 eV/atom
* density of states at the Fermi level: 0.00 states/eV/f.u.
* DFT total energy: -5.884 eV/atom
* M_tot: 0.00 μB/f.u.

a b c (Å): 4.219 7.520 7.520
angles (deg): 116.29 90.00 90.00
Atoms (fractional coordinates):
1 Y 0.000 0.426 0.574
2 Lu 0.500 0.081 0.919
3 Se 0.500 0.224 0.310
4 Se 0.500 0.690 0.776
5 Se 0.000 0.208 0.792

=====

The following is a PBE calculation of DySeF2 after structural relaxation, from Alexandria via LeMat-Bulk.

Properties
* formation energy without anion corrections: -2.625 eV/atom
* density of states at the Fermi level: 0.69 states/eV/f.u.
* DFT total energy: -5.582 eV/atom
* M_tot: 0.00 μB/f.u.

a b c (Å): 3.092 3.934 7.310
angles (deg): 105.61 102.21 90.00
Atoms (fractional coordinates):
1 Dy 0.732 0.232 0.464
2 Se 0.413 0.413 0.826
3 F 0.122 0.122 0.245
4 F 0.232 0.732 0.465